This record from Alexandria via LeMat-Bulk describes a relaxed structure of PaFe2Co2. The functional is PBE.

Symmetry: I4/mmm, No. 139
Energy of formation (eV/atom): -0.043

```
data_PaFe2Co2
_chemical_formula_sum 'Pa2 Fe4 Co4'
_cell_length_a 10.195
_cell_length_b 10.195
_cell_length_c 10.195
_cell_angle_alpha 158.08
_cell_angle_beta 158.08
_cell_angle_gamma 31.19
_space_group_name_H-M_alt 'P 1'
_space_group_IT_number 1
_space_group_name_Hall 'P 1'
loop_
_atom_site_label
_atom_site_type_symbol
_atom_site_fract_x
_atom_site_fract_y
_atom_site_fract_z
Pa1 Pa 0.115 0.115 0.000
Pa2 Pa 0.885 0.885 0.000
Fe1 Fe 0.250 0.750 0.500
Fe2 Fe 0.431 0.431 0.000
Fe3 Fe 0.569 0.569 0.000
Fe4 Fe 0.750 0.250 0.500
Co1 Co 0.000 0.500 0.500
Co2 Co 0.317 0.317 0.000
Co3 Co 0.500 0.000 0.500
Co4 Co 0.683 0.683 0.000
```



This record from Alexandria via LeMat-Bulk describes a relaxed structure of PmZr2Zn. The functional is PBE.

Symmetry: R-3m, No. 166
Energy of formation (eV/atom): 0.237

```
data_PmZr2Zn
_chemical_formula_sum 'Pm1 Zr2 Zn1'
_cell_length_a 11.115
_cell_length_b 11.115
_cell_length_c 11.115
_cell_angle_alpha 16.51
_cell_angle_beta 16.51
_cell_angle_gamma 16.51
_space_group_name_H-M_alt 'P 1'
_space_group_IT_number 1
_space_group_name_Hall 'P 1'
loop_
_atom_site_label
_atom_site_type_symbol
_atom_site_fract_x
_atom_site_fract_y
_atom_site_fract_z
Pm1 Pm 0.000 0.000 0.000
Zr1 Zr 0.099 0.099 0.099
Zr2 Zr 0.901 0.901 0.901
Zn1 Zn 0.500 0.500 0.500
```



This record from Alexandria via LeMat-Bulk describes a relaxed structure of Na3In5Br12. The functional is PBE.

Symmetry: Ia-3d, No. 230
Energy relative to the elements, uncorrected (kJ per mole of atoms): -83.52

```
data_Na3In5Br12
_chemical_formula_sum 'Na12 In20 Br48'
_cell_length_a 15.815
_cell_length_b 15.815
_cell_length_c 15.815
_cell_angle_alpha 109.47
_cell_angle_beta 109.47
_cell_angle_gamma 109.47
_space_group_name_H-M_alt 'P 1'
_space_group_IT_number 1
_space_group_name_Hall 'P 1'
loop_
_atom_site_label
_atom_site_type_symbol
_atom_site_fract_x
_atom_site_fract_y
_atom_site_fract_z
Na1 Na 0.125 0.250 0.375
Na2 Na 0.125 0.375 0.750
Na3 Na 0.250 0.375 0.125
Na4 Na 0.250 0.875 0.625
Na5 Na 0.375 0.125 0.250
Na6 Na 0.375 0.750 0.125
Na7 Na 0.625 0.250 0.875
Na8 Na 0.625 0.875 0.750
Na9 Na 0.750 0.125 0.375
Na10 Na 0.750 0.625 0.875
Na11 Na 0.875 0.625 0.250
Na12 Na 0.875 0.750 0.625
In1 In 0.000 0.000 0.000
In2 In 0.000 0.000 0.500
In3 In 0.000 0.500 0.000
In4 In 0.000 0.500 0.500
In5 In 0.125 0.750 0.875
In6 In 0.125 0.875 0.250
In7 In 0.250 0.125 0.875
In8 In 0.250 0.625 0.375
In9 In 0.375 0.250 0.625
In10 In 0.375 0.625 0.750
In11 In 0.500 0.000 0.000
In12 In 0.500 0.000 0.500
In13 In 0.500 0.500 0.000
In14 In 0.500 0.500 0.500
In15 In 0.625 0.375 0.250
In16 In 0.625 0.750 0.375
In17 In 0.750 0.375 0.625
In18 In 0.750 0.875 0.125
In19 In 0.875 0.125 0.750
In20 In 0.875 0.250 0.125
Br1 Br 0.038 0.225 0.133
Br2 Br 0.038 0.313 0.905
Br3 Br 0.092 0.725 0.687
Br4 Br 0.092 0.867 0.405
Br5 Br 0.095 0.633 0.408
Br6 Br 0.095 0.962 0.687
Br7 Br 0.133 0.038 0.225
Br8 Br 0.133 0.595 0.908
Br9 Br 0.187 0.225 0.592
Br10 Br 0.187 0.462 0.595
Br11 Br 0.225 0.133 0.038
Br12 Br 0.225 0.592 0.187
Br13 Br 0.275 0.313 0.908
Br14 Br 0.275 0.462 0.367
Br15 Br 0.313 0.905 0.038
Br16 Br 0.313 0.908 0.275
Br17 Br 0.367 0.275 0.462
Br18 Br 0.367 0.592 0.905
Br19 Br 0.405 0.092 0.867
Br20 Br 0.405 0.813 0.538
Br21 Br 0.408 0.095 0.633
Br22 Br 0.408 0.813 0.775
Br23 Br 0.462 0.367 0.275
Br24 Br 0.462 0.595 0.187
Br25 Br 0.538 0.405 0.813
Br26 Br 0.538 0.633 0.725
Br27 Br 0.592 0.187 0.225
Br28 Br 0.592 0.905 0.367
Br29 Br 0.595 0.187 0.462
Br30 Br 0.595 0.908 0.133
Br31 Br 0.633 0.408 0.095
Br32 Br 0.633 0.725 0.538
Br33 Br 0.687 0.092 0.725
Br34 Br 0.687 0.095 0.962
Br35 Br 0.725 0.538 0.633
Br36 Br 0.725 0.687 0.092
Br37 Br 0.775 0.408 0.813
Br38 Br 0.775 0.867 0.962
Br39 Br 0.813 0.538 0.405
Br40 Br 0.813 0.775 0.408
Br41 Br 0.867 0.405 0.092
Br42 Br 0.867 0.962 0.775
Br43 Br 0.905 0.038 0.313
Br44 Br 0.905 0.367 0.592
Br45 Br 0.908 0.133 0.595
Br46 Br 0.908 0.275 0.313
Br47 Br 0.962 0.687 0.095
Br48 Br 0.962 0.775 0.867
```



This record from Alexandria via LeMat-Bulk describes a relaxed structure of CsPa2GaO8. The functional is PBE.

Symmetry: Cmmm, No. 65
Energy relative to the elements, uncorrected (kJ per mole of atoms): -239.96

```
data_CsPa2GaO8
_chemical_formula_sum 'Cs1 Pa2 Ga1 O8'
_cell_length_a 4.829
_cell_length_b 4.829
_cell_length_c 8.239
_cell_angle_alpha 90.00
_cell_angle_beta 90.00
_cell_angle_gamma 91.15
_space_group_name_H-M_alt 'P 1'
_space_group_IT_number 1
_space_group_name_Hall 'P 1'
loop_
_atom_site_label
_atom_site_type_symbol
_atom_site_fract_x
_atom_site_fract_y
_atom_site_fract_z
Cs1 Cs 0.000 0.000 0.000
Pa1 Pa 0.500 0.500 0.291
Pa2 Pa 0.500 0.500 0.709
Ga1 Ga 0.000 0.000 0.500
O1 O 0.204 0.204 0.317
O2 O 0.204 0.204 0.683
O3 O 0.301 0.699 0.500
O4 O 0.393 0.607 0.000
O5 O 0.607 0.393 0.000
O6 O 0.699 0.301 0.500
O7 O 0.796 0.796 0.317
O8 O 0.796 0.796 0.683
```



This record from Alexandria via LeMat-Bulk describes a relaxed structure of TcSnSbBrF. The functional is PBE.

Symmetry: Cm, No. 8
Energy relative to the elements, uncorrected (kJ per mole of atoms): -38.72

```
data_TcSnSbBrF
_chemical_formula_sum 'Tc1 Sn1 Sb1 Br1 F1'
_cell_length_a 6.399
_cell_length_b 6.399
_cell_length_c 5.141
_cell_angle_alpha 108.60
_cell_angle_beta 108.60
_cell_angle_gamma 37.40
_space_group_name_H-M_alt 'P 1'
_space_group_IT_number 1
_space_group_name_Hall 'P 1'
loop_
_atom_site_label
_atom_site_type_symbol
_atom_site_fract_x
_atom_site_fract_y
_atom_site_fract_z
Tc1 Tc 0.000 0.000 0.000
Sn1 Sn 0.081 0.081 0.567
Sb1 Sb 0.643 0.643 0.159
Br1 Br 0.349 0.349 0.722
F1 F 0.893 0.893 0.237
```



This record from Alexandria via LeMat-Bulk describes a relaxed structure of Li2TmAlS4. The functional is PBE.

Symmetry: Imma, No. 74
Energy relative to the elements, uncorrected (kJ per mole of atoms): -143.77

```
data_Li2TmAlS4
_chemical_formula_sum 'Li4 Tm2 Al2 S8'
_cell_length_a 7.417
_cell_length_b 7.417
_cell_length_c 7.417
_cell_angle_alpha 121.54
_cell_angle_beta 118.41
_cell_angle_gamma 90.06
_space_group_name_H-M_alt 'P 1'
_space_group_IT_number 1
_space_group_name_Hall 'P 1'
loop_
_atom_site_label
_atom_site_type_symbol
_atom_site_fract_x
_atom_site_fract_y
_atom_site_fract_z
Li1 Li 0.000 0.000 0.000
Li2 Li 0.500 0.000 0.000
Li3 Li 0.500 0.000 0.500
Li4 Li 0.500 0.500 0.500
Tm1 Tm 0.000 0.500 0.500
Tm2 Tm 0.500 0.500 0.000
Al1 Al 0.000 0.000 0.500
Al2 Al 0.000 0.500 0.000
S1 S 0.218 0.245 0.972
S2 S 0.227 0.755 0.472
S3 S 0.241 0.235 0.493
S4 S 0.241 0.748 0.007
S5 S 0.759 0.252 0.993
S6 S 0.759 0.765 0.507
S7 S 0.773 0.245 0.528
S8 S 0.782 0.755 0.028
```